A crystal of Na3SrLa relaxed with PBEsol, computed with SCAN.

abc: 6.0291 6.0291 6.0291
angles: 90.00 90.00 90.00
Element x y z (fractional)
Na 0.0000 0.0000 0.5000
Na 0.0000 0.5000 0.0000
Na 0.5000 0.0000 0.0000
Sr 0.0000 0.0000 0.0000
La 0.5000 0.5000 0.5000

Output
Volume: 43.832 A^3/atom
Formation energy from the elements: 71.24 kJ per mole of atoms
Space group: Pm-3m (221)
Size of the total moment: 0.357 μB per atom

***

A crystal of SrZrHg3 relaxed with PBEsol, computed with SCAN.

abc: 5.5340 5.5340 5.5340
angles: 90.00 90.00 90.00
Element x y z (fractional)
Sr 0.0000 0.0000 0.0000
Zr 0.5000 0.5000 0.5000
Hg 0.0000 0.0000 0.5000
Hg 0.0000 0.5000 0.0000
Hg 0.5000 0.0000 0.0000

Output
Volume: 33.895 A^3/atom
Formation energy from the elements: 82.78 kJ per mole of atoms
Space group: Pm-3m (221)
Size of the total moment: 0.482 μB per atom